Record 1
# LiZn2Se, relaxed, DFT GGA-PBE
# excess energy over the best structure of this formula in the dataset	0.1188	eV per atom
# formation energy from raw total energies	-0.290	eV/atom
# uncorrected energy	-9.104	eV/f.u.
# N(E_F)	1.20	states/eV per cell
data_LiZn2Se
_cell_length_a 3.613
_cell_length_b 3.613
_cell_length_c 5.371
_cell_angle_alpha 90.00
_cell_angle_beta 90.00
_cell_angle_gamma 90.00
_space_group_name_H-M_alt 'P 4 m m'
_space_group_IT_number 99
_space_group_name_Hall 'P 4 -2'
loop_
_atom_site_label
_atom_site_type_symbol
_atom_site_fract_x
_atom_site_fract_y
_atom_site_fract_z
Li1 Li 0.000 0.000 0.000
Zn1 Zn 0.000 0.000 0.503
Zn2 Zn 0.500 0.500 0.680
Se1 Se 0.500 0.500 0.160

***

Record 2
# Li2HfZrSe4, relaxed, DFT GGA-PBE
# formation energy from raw total energies	-1.303	eV/atom
# uncorrected energy	-46.695	eV/f.u.
# N(E_F)	2.79	states/eV per cell
data_Li2HfZrSe4
_cell_length_a 6.485
_cell_length_b 3.749
_cell_length_c 6.993
_cell_angle_alpha 90.00
_cell_angle_beta 108.10
_cell_angle_gamma 90.00
_space_group_name_H-M_alt 'P 1 2/m 1'
_space_group_IT_number 10
_space_group_name_Hall '-P 2y'
loop_
_atom_site_label
_atom_site_type_symbol
_atom_site_fract_x
_atom_site_fract_y
_atom_site_fract_z
Li1 Li 0.000 0.000 0.000
Li2 Li 0.500 0.500 0.000
Hf1 Hf 0.000 0.500 0.500
Zr1 Zr 0.500 0.000 0.500
Se1 Se 0.245 0.500 0.248
Se2 Se 0.246 0.000 0.749

***

Record 3
# Sb, relaxed, DFT GGA-PBE
# excess energy over the best structure of this formula in the dataset	0.3211	eV per atom
# formation energy from raw total energies	0.321	eV/atom
# uncorrected energy	-3.801	eV/f.u.
# N(E_F)	3.29	states/eV per cell
data_Sb
_cell_length_a 4.786
_cell_length_b 4.786
_cell_length_c 4.786
_cell_angle_alpha 90.00
_cell_angle_beta 90.00
_cell_angle_gamma 90.00
_space_group_name_H-M_alt 'F m -3 m'
_space_group_IT_number 225
_space_group_name_Hall '-F 4 2 3'
loop_
_atom_site_label
_atom_site_type_symbol
_atom_site_fract_x
_atom_site_fract_y
_atom_site_fract_z
Sb1 Sb 0.000 0.000 0.000

***

Record 4
# Y4TlRh5, relaxed, DFT GGA-PBE
# uncorrected energy	-71.701	eV/f.u.
# N(E_F)	5.30	states/eV per cell
# energy of formation from the pure elements	-672	meV/atom
data_Y4TlRh5
_cell_length_a 3.460
_cell_length_b 3.460
_cell_length_c 16.569
_cell_angle_alpha 90.00
_cell_angle_beta 90.00
_cell_angle_gamma 90.00
_space_group_name_H-M_alt 'P 4/m m m'
_space_group_IT_number 123
_space_group_name_Hall '-P 4 2'
loop_
_atom_site_label
_atom_site_type_symbol
_atom_site_fract_x
_atom_site_fract_y
_atom_site_fract_z
Y1 Y 0.000 0.000 0.102
Y2 Y 0.000 0.000 0.307
Tl1 Tl 0.000 0.000 0.500
Rh1 Rh 0.500 0.500 0.000
Rh2 Rh 0.500 0.500 0.203
Rh3 Rh 0.500 0.500 0.406

***

- Which value of uncorrected energy does entry 2 give?
  -46.695 eV/f.u.

***

- N(E_F) of number 3 (Sb)?
  3.29 states/eV per cell

***

- Which formula does entry 1 have?
  LiZn2Se